No. 1
# SrNbAu3

A relaxed structure of SrNbAu3 (PBE, Alexandria via LeMat-Bulk).

abc: 5.1910 5.1910 5.1910
angles: 90.00 90.00 90.00
Fractional coordinates of all 5 atoms:
Sr: 0.0000 0.0000 0.0000
Nb: 0.5000 0.5000 0.5000
Au: 0.0000 0.5000 0.5000
Au: 0.5000 0.0000 0.5000
Au: 0.5000 0.5000 0.0000

SG: No. 221
Calculated density, Mg/m³: 9.16
Energy, eV per atom: -4.258
Relative energy among the computed polymorphs, eV/atom: 0.000
Formation enthalpy at 0 K, eV per atom: 0.06
Spin magnetization, μB/f.u.: 0.00



No. 2
# Sr2NbAu

A relaxed structure of Sr2NbAu (PBE, Alexandria via LeMat-Bulk).

abc: 5.5275 5.5275 5.5275
angles: 60.00 60.00 60.00
Fractional coordinates of all 4 atoms:
Sr: 0.2500 0.2500 0.2500
Sr: 0.7500 0.7500 0.7500
Nb: 0.0000 0.0000 0.0000
Au: 0.5000 0.5000 0.5000

SG: No. 225
Calculated density, Mg/m³: 6.47
Energy, eV per atom: -3.755
Relative energy among the computed polymorphs, eV/atom: 0.000
Formation enthalpy at 0 K, eV per atom: 0.42
Spin magnetization, μB/f.u.: 4.04



No. 3
# SrNbAu3

A relaxed structure of SrNbAu3 (PBE, Alexandria via LeMat-Bulk).

abc: 5.4913 5.4913 5.4913
angles: 90.00 90.00 90.00
Fractional coordinates of all 5 atoms:
Sr: 0.0000 0.0000 0.0000
Nb: 0.5000 0.5000 0.5000
Au: 0.0000 0.0000 0.5000
Au: 0.0000 0.5000 0.0000
Au: 0.5000 0.0000 0.0000

SG: No. 221
Calculated density, Mg/m³: 7.74
Energy, eV per atom: -3.106
Relative energy among the computed polymorphs, eV/atom: 1.153
Formation enthalpy at 0 K, eV per atom: 1.21
Spin magnetization, μB/f.u.: 3.85



No. 4
# Sr2NbTcAu

A relaxed structure of Sr2NbTcAu (PBE, Alexandria via LeMat-Bulk).

abc: 5.8270 5.8270 5.1440
angles: 90.00 90.00 90.00
Fractional coordinates of all 5 atoms:
Sr: 0.0000 0.5000 0.0000
Sr: 0.5000 0.0000 0.0000
Nb: 0.0000 0.0000 0.5000
Tc: 0.5000 0.5000 0.5000
Au: 0.0000 0.0000 0.0000

SG: No. 123
Calculated density, Mg/m³: 5.35
Energy, eV per atom: -4.270
Formation enthalpy at 0 K, eV per atom: 1.14
Spin magnetization, μB/f.u.: 1.22



No. 5
# SrYNb2Au

A relaxed structure of SrYNb2Au (PBE, Alexandria via LeMat-Bulk).

abc: 5.1515 5.1515 5.5627
angles: 90.00 90.00 90.00
Fractional coordinates of all 5 atoms:
Sr: 0.0000 0.0000 0.0000
Y: 0.5000 0.5000 0.0000
Nb: 0.0000 0.5000 0.5000
Nb: 0.5000 0.0000 0.5000
Au: 0.0000 0.0000 0.5000

SG: No. 123
Calculated density, Mg/m³: 6.29
Energy, eV per atom: -5.387
Formation enthalpy at 0 K, eV per atom: 0.93
Spin magnetization, μB/f.u.: 0.01



No. 6
# Ta2Nb6Au

A relaxed structure of Ta2Nb6Au (PBE, Alexandria via LeMat-Bulk).

abc: 7.6574 7.6574 4.8238
angles: 98.28 98.28 139.84
Fractional coordinates of all 9 atoms:
Ta: 0.1631 0.8369 0.0000
Ta: 0.8369 0.1631 0.0000
Nb: 0.1754 0.5052 0.6681
Nb: 0.3384 0.3384 0.1677
Nb: 0.4948 0.8246 0.3319
Nb: 0.5052 0.1754 0.6681
Nb: 0.6616 0.6616 0.8323
Nb: 0.8246 0.4948 0.3319
Au: 0.0000 0.0000 0.5000

SG: No. 12
Calculated density, Mg/m³: 11.19
Energy, eV per atom: -9.617
Relative energy among the computed polymorphs, eV/atom: 0.000
Formation enthalpy at 0 K, eV per atom: 0.09
Spin magnetization, μB/f.u.: 0.00



No. 7
# Ta5Nb4Au2

A relaxed structure of Ta5Nb4Au2 (PBE, Alexandria via LeMat-Bulk).

abc: 2.8404 7.2151 9.8540
angles: 91.68 95.26 97.78
Fractional coordinates of all 11 atoms:
Ta: 0.0000 0.0000 0.0000
Ta: 0.2566 0.4521 0.3695
Ta: 0.4490 0.0988 0.2694
Ta: 0.5510 0.9012 0.7306
Ta: 0.7434 0.5479 0.6305
Nb: 0.1005 0.8229 0.4587
Nb: 0.1659 0.6431 0.9075
Nb: 0.8341 0.3569 0.0925
Nb: 0.8995 0.1771 0.5413
Au: 0.3772 0.2730 0.8146
Au: 0.6228 0.7270 0.1854

SG: No. 2
Calculated density, Mg/m³: 13.93
Energy, eV per atom: -9.667
Formation enthalpy at 0 K, eV per atom: -0.02
Spin magnetization, μB/f.u.: 0.00



No. 8
# Ta2Nb3Au2

A relaxed structure of Ta2Nb3Au2 (PBE, Alexandria via LeMat-Bulk).

abc: 10.0020 10.0020 2.8182
angles: 96.40 96.40 26.67
Fractional coordinates of all 7 atoms:
Ta: 0.1411 0.1411 0.4430
Ta: 0.8589 0.8589 0.5570
Nb: 0.0000 0.0000 0.5000
Nb: 0.2820 0.2820 0.1734
Nb: 0.7180 0.7180 0.8266
Au: 0.4255 0.4255 0.9934
Au: 0.5745 0.5745 0.0066

SG: No. 12
Calculated density, Mg/m³: 13.67
Energy, eV per atom: -8.648
Formation enthalpy at 0 K, eV per atom: -0.01
Spin magnetization, μB/f.u.: 0.00